[1]
An optimized crystal structure of ReCI2. Source: Alexandria via LeMat-Bulk, functional PBE.

Geometry as extended XYZ:
```
4
Lattice="0.000 3.332 3.332 3.332 0.000 3.332 3.332 3.332 0.000" Properties=species:S:1:pos:R:3 pbc="T T T"
I 1.666 1.666 1.666
I 4.999 4.999 4.999
Re 3.332 3.332 3.332
C 0.000 0.000 0.000
```

## Properties
- calculated volume (Å³ per cell) = 74.0
- symmetry = No. 225
- crystal system = cubic
- VASP energy (eV per atom) = -3.87

=====

[2]
An optimized crystal structure of MgSc2NbH. Source: Alexandria via LeMat-Bulk, functional PBE.

Geometry as extended XYZ:
```
5
Lattice="4.514 0.000 0.000 0.000 4.514 0.000 0.000 0.000 4.214" Properties=species:S:1:pos:R:3 pbc="T T T"
Sc 0.000 2.257 0.000
Sc 2.257 0.000 0.000
H 0.000 0.000 0.000
Nb 0.000 0.000 2.107
Mg 2.257 2.257 2.107
```

## Properties
- calculated volume (Å³ per cell) = 85.8
- symmetry = No. 123
- crystal system = tetragonal
- VASP energy (eV per atom) = -5.61

=====

[3]
An optimized crystal structure of Sm2GaAu. Source: Alexandria via LeMat-Bulk, functional PBE.

Geometry as extended XYZ:
```
8
Lattice="4.531 0.000 0.000 0.000 6.027 0.101 0.000 -2.870 7.493" Properties=species:S:1:pos:R:3 pbc="T T T"
Sm 3.398 0.136 3.168
Sm 1.133 3.021 4.427
Sm 1.133 4.547 0.573
Sm 3.398 -1.390 7.021
Ga 3.398 3.230 2.269
Ga 1.133 -0.073 5.326
Au 1.133 1.532 1.599
Au 3.398 1.625 5.995
```

## Properties
- calculated volume (Å³ per cell) = 205.9
- symmetry = No. 11
- crystal system = monoclinic
- VASP energy (eV per atom) = -4.61
- calculated formation energy (eV per atom) = -0.68

=====

[4]
An optimized crystal structure of LiZn2P. Source: Alexandria via LeMat-Bulk, functional PBE.

Geometry as extended XYZ:
```
4
Lattice="3.837 -0.001 0.000 0.018 3.837 0.000 0.000 0.000 3.945" Properties=species:S:1:pos:R:3 pbc="T T T"
Li 1.918 0.000 1.973
P 0.009 1.918 1.973
Zn 0.000 0.000 0.000
Zn 1.927 1.918 0.000
```

## Properties
- calculated volume (Å³ per cell) = 58.1
- symmetry = No. 65
- crystal system = orthorhombic
- VASP energy (eV per atom) = -2.61
- calculated formation energy (eV per atom) = -0.15

=====

[5]
An optimized crystal structure of RbTcF5. Source: Alexandria via LeMat-Bulk, functional PBE.

Geometry as extended XYZ:
```
14
Lattice="-0.827 -2.872 -5.543 5.947 2.067 -0.163 1.184 -4.968 6.970" Properties=species:S:1:pos:R:3 pbc="T T T"
Rb 2.485 -2.337 -2.312
Rb 3.819 -3.436 3.577
Tc 0.000 0.000 0.000
Tc 0.179 -3.920 0.714
F 0.362 -2.615 -4.039
F 5.100 -1.301 2.113
F 1.833 -3.736 1.698
F 0.393 -2.008 0.018
F 3.628 -0.961 -4.462
F 2.676 -4.811 5.727
F 5.911 -3.765 1.246
F 4.471 -2.037 -0.433
F 1.204 -4.472 -0.848
F 5.942 -3.158 5.303
```

## Properties
- calculated volume (Å³ per cell) = 285.7
- symmetry = No. 15
- crystal system = monoclinic
- VASP energy (eV per atom) = -5.33

=====

[6]
An optimized crystal structure of CaTb4Te5. Source: Alexandria via LeMat-Bulk, functional PBE.

Geometry as extended XYZ:
```
10
Lattice="5.595 0.000 2.699 2.797 6.944 1.349 -0.219 0.000 7.604" Properties=species:S:1:pos:R:3 pbc="T T T"
Ca 0.005 0.000 0.002
Tb 3.183 2.787 7.715
Tb 6.593 5.567 7.795
Tb 1.593 1.377 3.862
Tb 5.003 4.157 3.942
Te 5.991 2.776 9.042
Te 3.790 5.542 6.455
Te 4.395 1.402 5.202
Te 2.194 4.168 2.615
Te 2.803 0.000 1.352
```

## Properties
- calculated volume (Å³ per cell) = 299.5
- symmetry = No. 87
- crystal system = tetragonal
- VASP energy (eV per atom) = -4.99

=====

[7]
An optimized crystal structure of Cs2LiPS4. Source: Alexandria via LeMat-Bulk, functional PBE.

Geometry as extended XYZ:
```
16
Lattice="-2.282 -3.024 4.494 -4.748 -5.406 -2.205 8.336 -9.584 1.629" Properties=species:S:1:pos:R:3 pbc="T T T"
Cs 4.980 -6.725 1.848
Cs 1.073 -5.882 4.275
Cs 3.438 -12.621 2.864
Cs -3.274 -6.905 3.301
Li 0.082 -9.763 3.083
Li 0.000 0.000 0.000
P 1.223 -8.251 0.836
P -1.141 -1.512 2.247
S -3.906 -6.392 -0.170
S 6.146 -10.384 2.249
S 1.705 -15.687 3.416
S -1.334 -3.563 2.342
S -0.760 -8.777 1.047
S 2.272 -8.962 2.463
S -0.318 -12.088 3.586
S 1.416 -6.199 0.741
```

## Properties
- calculated volume (Å³ per cell) = 507.5
- symmetry = No. 70
- crystal system = orthorhombic
- VASP energy (eV per atom) = -4.21

=====

[8]
An optimized crystal structure of PmHgPdPb. Source: Alexandria via LeMat-Bulk, functional PBE.

Geometry as extended XYZ:
```
4
Lattice="-3.960 3.108 0.986 -2.713 -0.592 4.314 0.347 3.486 3.747" Properties=species:S:1:pos:R:3 pbc="T T T"
Pb -1.581 1.501 2.262
Hg -3.163 3.001 4.524
Pd 0.000 0.000 0.000
Pm -4.744 4.502 6.785
```

## Properties
- calculated volume (Å³ per cell) = 95.5
- symmetry = No. 216
- crystal system = cubic
- VASP energy (eV per atom) = -3.96
- calculated formation energy (eV per atom) = -0.48

=====

Which of these has the lowest calculated volume?
LiZn2P